NaTmMgS3 after structural relaxation, computed with GGA-PBE. Values from VASP.

Properties
space-group type	Cmcm
E	-29.2	eV per formula unit

Quantum ESPRESSO input file:
```
&SYSTEM
  ibrav = 0, nat = 12, ntyp = 4
/
ATOMIC_SPECIES
Mg 24.30 Mg.upf
Na 22.99 Na.upf
S 32.06 S.upf
Tm 168.93 Tm.upf
ATOMIC_POSITIONS crystal
Mg 0.031 0.969 0.250
Mg 0.969 0.031 0.750
Na 0.754 0.246 0.250
Na 0.246 0.754 0.750
S 0.129 0.871 0.064
S 0.424 0.576 0.250
S 0.129 0.871 0.436
S 0.871 0.129 0.564
S 0.576 0.424 0.750
S 0.871 0.129 0.936
Tm 0.500 0.500 0.000
Tm 0.500 0.500 0.500
CELL_PARAMETERS angstrom
1.233 6.615 -1.501
-2.961 -5.897 -1.996
-9.009 2.820 5.031
```


Na2MgWS4 after structural relaxation, computed with GGA-PBE. Values from VASP.

Properties
space-group type	I-4
E	-40.1	eV per formula unit

Quantum ESPRESSO input file:
```
&SYSTEM
  ibrav = 0, nat = 8, ntyp = 4
/
ATOMIC_SPECIES
Mg 24.30 Mg.upf
Na 22.99 Na.upf
S 32.06 S.upf
W 183.84 W.upf
ATOMIC_POSITIONS crystal
Mg 0.000 0.000 0.000
Na 0.500 0.500 0.000
Na 0.750 0.250 0.500
S 0.137 0.677 0.069
S 0.323 0.392 0.459
S 0.932 0.863 0.541
S 0.608 0.068 0.931
W 0.250 0.750 0.500
CELL_PARAMETERS angstrom
-5.399 -3.945 -0.817
-4.134 3.688 3.833
3.556 2.535 -5.129
```


Copy entry 2 word for word.
Na2MgWS4 after structural relaxation, computed with GGA-PBE. Values from VASP.

Properties
space-group type	I-4
E	-40.1	eV per formula unit

Quantum ESPRESSO input file:
```
&SYSTEM
  ibrav = 0, nat = 8, ntyp = 4
/
ATOMIC_SPECIES
Mg 24.30 Mg.upf
Na 22.99 Na.upf
S 32.06 S.upf
W 183.84 W.upf
ATOMIC_POSITIONS crystal
Mg 0.000 0.000 0.000
Na 0.500 0.500 0.000
Na 0.750 0.250 0.500
S 0.137 0.677 0.069
S 0.323 0.392 0.459
S 0.932 0.863 0.541
S 0.608 0.068 0.931
W 0.250 0.750 0.500
CELL_PARAMETERS angstrom
-5.399 -3.945 -0.817
-4.134 3.688 3.833
3.556 2.535 -5.129
```


Question: Among the records above, which one has the highest E?
Answer: NaTmMgS3


Question: What is the formula in the second record?
Answer: Na2MgWS4


Question: Among the records above, which one has the highest E?
Answer: NaTmMgS3